Below is PrBi2MoO8 after structural relaxation, with properties calculated at the GGA+U level.

Output
As for the electronic total energy: -79.63 eV for the cell shown. The density is 7.0 g/cm3. The calculation puts the spin magnetization at 0.000 μB/atom. As for the crystal system: monoclinic.

Cell: 5.193 5.184 6.944 Å, 90.00 90.00 89.13°
Atoms (fractional coordinates):
Mo: 0.000 0.000 0.000
O: 0.320 0.318 0.500
O: 0.181 0.817 0.209
O: 0.265 0.263 0.000
O: 0.735 0.737 0.000
O: 0.181 0.817 0.791
O: 0.680 0.682 0.500
O: 0.819 0.183 0.209
O: 0.819 0.183 0.791
Bi: 0.500 0.500 0.243
Bi: 0.500 0.500 0.757
Pr: 0.000 0.000 0.500